1.
PuMg2Sb2 PBE relaxed; formation energy from raw total energies = -0.3100 eV/atom; spin magnetization = 5.9 μB/f.u.; V = 29.46 Å³ per atom; E = -0.4015 Ry per atom
1.0
5.063 -5.577 0.000
5.063 5.577 0.000
-5.058 0.000 5.217
Pu Mg Sb
2 4 4
direct
0.125 0.875 0.750
0.875 0.125 0.250
0.229 0.479 0.958
0.479 0.229 0.458
0.521 0.771 0.542
0.771 0.521 0.042
0.155 0.845 0.250
0.404 0.596 0.750
0.596 0.404 0.250
0.845 0.155 0.750

---

2.
Th6Tc2Hg3Os PBE relaxed; E_form = -0.22 eV per atom; spin magnetization = 0.0 μB/f.u.; V = 28.76 Å³ per atom; E = -0.4901 Ry per atom
1.0
9.874 -2.050 0.000
9.874 2.050 0.000
-3.425 0.000 8.524
Th Tc Hg Os
6 2 3 1
direct
0.014 0.014 0.221
0.321 0.321 0.449
0.344 0.344 0.887
0.656 0.656 0.113
0.679 0.679 0.551
0.986 0.986 0.779
0.167 0.167 0.331
0.833 0.833 0.669
0.164 0.164 0.829
0.500 0.500 0.500
0.836 0.836 0.171
0.500 0.500 0.000

---

3.
TaTcIr2 PBE relaxed; energy relative to the lowest polymorph listed for this composition = 591 meV per atom; E_form = 0.08 eV per atom; spin magnetization = 2.7 μB/f.u.; V = 15.90 Å³ per atom; E = -0.7279 Ry per atom
1.0
6.337 0.000 0.000
0.000 6.337 0.000
0.000 0.000 6.337
Ta Tc Ir
4 4 8
direct
0.000 0.000 0.000
0.000 0.500 0.500
0.500 0.000 0.500
0.500 0.500 0.000
0.000 0.000 0.500
0.000 0.500 0.000
0.500 0.000 0.000
0.500 0.500 0.500
0.250 0.250 0.250
0.250 0.250 0.750
0.250 0.750 0.250
0.250 0.750 0.750
0.750 0.250 0.250
0.750 0.250 0.750
0.750 0.750 0.250
0.750 0.750 0.750

---

4.
Ba2LaTc PBE relaxed; energy relative to the lowest polymorph listed for this composition = 426 meV per atom; E_form = 0.77 eV per atom; spin magnetization = 0.6 μB/f.u.; V = 31.98 Å³ per atom; E = -0.2954 Ry per atom
1.0
4.722 0.000 0.000
0.000 4.722 0.000
0.000 0.000 11.476
Ba La Tc
4 2 2
direct
0.000 0.500 0.250
0.000 0.500 0.750
0.500 0.000 0.250
0.500 0.000 0.750
0.000 0.000 0.000
0.500 0.500 0.500
0.000 0.000 0.500
0.500 0.500 0.000

---

Q: Number 4 is which compound?
A: Ba2LaTc

---

Q: Which of these has the lowest E?
A: TaTcIr2

---

Repeat the second record exactly.
Th6Tc2Hg3Os PBE relaxed; E_form = -0.22 eV per atom; spin magnetization = 0.0 μB/f.u.; V = 28.76 Å³ per atom; E = -0.4901 Ry per atom
1.0
9.874 -2.050 0.000
9.874 2.050 0.000
-3.425 0.000 8.524
Th Tc Hg Os
6 2 3 1
direct
0.014 0.014 0.221
0.321 0.321 0.449
0.344 0.344 0.887
0.656 0.656 0.113
0.679 0.679 0.551
0.986 0.986 0.779
0.167 0.167 0.331
0.833 0.833 0.669
0.164 0.164 0.829
0.500 0.500 0.500
0.836 0.836 0.171
0.500 0.500 0.000